[1]
Material: Cu2Ni6W
Method: DFT, GGA-PBE
State: optimized geometry

Geometry as CIF:
```
data_Cu2Ni6W
_chemical_formula_sum 'Cu2 Ni6 W1'
_symmetry_space_group_name_H-M 'P 1'
_symmetry_Int_Tables_number 1
_cell_length_a 2.5418
_cell_length_b 6.9758
_cell_length_c 6.9758
_cell_angle_alpha 120.00
_cell_angle_beta 90.00
_cell_angle_gamma 90.00
loop_
_symmetry_equiv_pos_as_xyz
'x,y,z'
loop_
_atom_site_label
_atom_site_type_symbol
_atom_site_fract_x
_atom_site_fract_y
_atom_site_fract_z
Ni1 Ni 0.0000 0.6882 0.0000
Ni2 Ni 0.5000 0.0000 0.3545
Ni3 Ni 0.0000 0.3118 0.3118
Ni4 Ni 0.0000 0.0000 0.6882
Ni5 Ni 0.5000 0.3545 0.0000
Ni6 Ni 0.5000 0.6455 0.6455
W1 W 0.5000 0.0000 0.0000
Cu1 Cu 0.0000 0.6667 0.3333
Cu2 Cu 0.0000 0.3333 0.6667
```

total magnetic moment: 0.00 μB/atom

[2]
Material: TcBiI2N
Method: DFT, GGA-PBE
State: optimized geometry

Geometry as CIF:
```
data_TcBiI2N
_chemical_formula_sum 'Tc1 Bi1 I2 N1'
_symmetry_space_group_name_H-M 'P 1'
_symmetry_Int_Tables_number 1
_cell_length_a 6.3530
_cell_length_b 6.3530
_cell_length_c 4.1805
_cell_angle_alpha 90.00
_cell_angle_beta 90.00
_cell_angle_gamma 90.00
loop_
_symmetry_equiv_pos_as_xyz
'x,y,z'
loop_
_atom_site_label
_atom_site_type_symbol
_atom_site_fract_x
_atom_site_fract_y
_atom_site_fract_z
Tc1 Tc 0.5000 0.5000 0.5000
I1 I 0.0000 0.5000 0.0000
I2 I 0.5000 0.0000 0.0000
Bi1 Bi 0.0000 0.0000 0.0000
N1 N 0.0000 0.0000 0.5000
```

uncorrected formation energy: 1.445 eV per atom
relative energy among the computed polymorphs: 5.15 eV per formula unit
total magnetic moment: 0.92 μB/atom

no.,energy (eV per atom)
1,-6.132
2,-3.690